[1]
Computed, not measured: crystalline NdH4Os at its relaxed geometry at the PBE-GGA level of DFT.

Its total energy is -5.148 eV per atom. The volume is 10.03 A^3/atom.

abc: 3.836 3.836 8.637
angles: 90.00 90.00 108.82
Atoms (fractional coordinates):
1 Nd 0.000 0.000 0.000
2 Nd 0.000 0.000 0.500
3 H 0.131 0.363 0.250
4 H 0.363 0.131 0.750
5 H 0.365 0.635 0.553
6 H 0.365 0.635 0.947
7 H 0.635 0.365 0.053
8 H 0.635 0.365 0.447
9 H 0.637 0.869 0.250
10 H 0.869 0.637 0.750
11 Os 0.360 0.640 0.750
12 Os 0.640 0.360 0.250


[2]
Computed, not measured: crystalline Nd6HOs2 at its relaxed geometry at the PBE-GGA level of DFT.

Its total energy is -6.211 eV per atom. The volume is 26.27 A^3/atom.

abc: 6.532 7.477 11.642
angles: 90.00 123.73 90.00
Atoms (fractional coordinates):
1 Nd 0.102 0.175 0.433
2 Nd 0.102 0.325 0.933
3 Nd 0.263 0.672 0.434
4 Nd 0.263 0.828 0.934
5 Nd 0.388 0.041 0.249
6 Nd 0.388 0.459 0.749
7 Nd 0.612 0.541 0.251
8 Nd 0.612 0.959 0.751
9 Nd 0.737 0.172 0.066
10 Nd 0.737 0.328 0.566
11 Nd 0.898 0.675 0.067
12 Nd 0.898 0.825 0.567
13 H 0.000 0.000 0.000
14 H 0.000 0.500 0.500
15 Os 0.195 0.115 0.746
16 Os 0.195 0.385 0.246
17 Os 0.805 0.615 0.754
18 Os 0.805 0.885 0.254


[3]
Computed, not measured: crystalline Nd2HOs at its relaxed geometry at the PBE-GGA level of DFT.

For the offset from the most stable computed form, the calculation gives 0.975 kcal/mol of atoms. The volume is 22.20 A^3/atom.

abc: 4.111 4.111 18.195
angles: 90.00 90.00 120.00
Atoms (fractional coordinates):
1 Nd 0.000 0.000 0.248
2 Nd 0.000 0.000 0.752
3 Nd 0.333 0.667 0.419
4 Nd 0.333 0.667 0.914
5 Nd 0.667 0.333 0.086
6 Nd 0.667 0.333 0.581
7 H 0.000 0.000 0.500
8 H 0.333 0.667 0.167
9 H 0.667 0.333 0.833
10 Os 0.000 0.000 0.000
11 Os 0.333 0.667 0.667
12 Os 0.667 0.333 0.333


[4]
Computed, not measured: crystalline NdH6Os at its relaxed geometry at the PBE-GGA level of DFT.

Its total energy is -4.704 eV per atom. The volume is 8.86 A^3/atom.

abc: 4.626 4.626 4.626
angles: 60.53 60.53 60.53
Atoms (fractional coordinates):
1 Nd 0.000 0.000 0.000
2 H 0.059 0.605 0.605
3 H 0.395 0.395 0.941
4 H 0.395 0.941 0.395
5 H 0.605 0.059 0.605
6 H 0.605 0.605 0.059
7 H 0.941 0.395 0.395
8 Os 0.500 0.500 0.500